Entry 1:
## RbAg2HgBr4 (PBE)

Data for a geometry-optimized RbAg2HgBr4 structure.

```
RbAg2HgBr4
1.0
0.0000 4.6594 7.1592
4.6583 0.0000 7.1592
4.6583 4.6594 0.0000
Rb Ag Hg Br
1 2 1 4
direct
0.0000 0.0000 0.0000
0.2495 0.2495 0.2505
0.7495 0.7495 0.7505
0.4992 0.4992 0.5008
0.1233 0.5727 0.8767
0.4272 0.8751 0.1249
0.5727 0.1233 0.4273
0.8751 0.4272 0.5728
```

Output
M_tot = 0.00 μB/f.u.
ΔE_f (raw) = -0.598 eV per atom
Calculated total energy = -2.31 eV per atom

Entry 2:
## Dy2GaAu8 (PBE)

Data for a geometry-optimized Dy2GaAu8 structure.

```
Dy2GaAu8
1.0
7.3211 -2.5204 0.0000
7.3211 2.5204 0.0000
-3.0933 0.0000 5.9919
Dy Ga Au
2 1 8
direct
0.2044 0.2044 0.2031
0.7956 0.7956 0.7969
0.5000 0.5000 0.5000
0.0002 0.0002 0.2239
0.9998 0.9998 0.7761
0.1737 0.1737 0.6735
0.3760 0.3760 0.6677
0.3770 0.3770 0.0843
0.6230 0.6230 0.9157
0.6240 0.6240 0.3323
0.8263 0.8263 0.3265
```

Output
M_tot = 0.00 μB/f.u.
Calculated total energy = -4.01 eV per atom
ΔH_f (0 K) = -5.68 eV per formula unit

Entry 3:
## SrInSb2 (PBE)

Data for a geometry-optimized SrInSb2 structure.

```
SrInSb2
1.0
-4.1748 4.1748 3.8037
4.1748 -4.1748 3.8037
4.1748 4.1748 -3.8037
Sr In Sb
2 2 4
direct
0.0000 0.0000 0.0000
0.7500 0.2500 0.5000
0.2500 0.7500 0.5000
0.5000 0.5000 0.0000
0.1684 0.6250 0.0434
0.3750 0.4184 0.5434
0.5816 0.1250 0.9566
0.8750 0.8316 0.4566
```

Output
M_tot = 0.00 μB/f.u.
ΔE_f (raw) = -0.388 eV per atom
Calculated total energy = -3.55 eV per atom

Entry 4:
## Ce3Ir4Rh4 (PBE)

Data for a geometry-optimized Ce3Ir4Rh4 structure.

```
Ce3Ir4Rh4
1.0
-3.8414 3.8414 3.8414
3.8414 -3.8414 3.8414
3.8414 3.8414 -3.8414
Ce Ir Rh
3 4 4
direct
0.0000 0.5000 0.5000
0.5000 0.0000 0.5000
0.5000 0.5000 0.0000
0.0000 0.0000 0.4058
0.0000 0.4058 0.0000
0.4058 0.0000 0.0000
0.5942 0.5942 0.5942
0.0000 0.0000 0.7614
0.0000 0.7614 0.0000
0.2386 0.2386 0.2386
0.7614 0.0000 0.0000
```

Output
M_tot = 1.05 μB/f.u.
Calculated total energy = -7.69 eV per atom
ΔH_f (0 K) = -1.96 eV per formula unit

Entry 5:
## Tb3Ho6ErTh2 (PBE)

Data for a geometry-optimized Tb3Ho6ErTh2 structure.

```
Tb3Ho6ErTh2
1.0
3.0706 -5.3150 0.0000
3.0706 5.3150 0.0000
-2.0493 0.0000 11.5388
Tb Ho Er Th
3 6 1 2
direct
0.0000 0.0000 0.0000
0.3335 0.6665 0.0000
0.6665 0.3335 0.0000
0.0812 0.4176 0.2526
0.2457 0.2457 0.7479
0.4176 0.0812 0.2526
0.5824 0.9188 0.7474
0.7543 0.7543 0.2521
0.9188 0.5824 0.7474
0.5000 0.5000 0.5000
0.1666 0.8334 0.5000
0.8334 0.1666 0.5000
```

Output
M_tot = 0.00 μB/f.u.
Calculated total energy = -5.04 eV per atom
ΔH_f (0 K) = 0.25 eV per formula unit

Entry 6:
## In2PbBr (PBE)

Data for a geometry-optimized In2PbBr structure.

```
In2PbBr
1.0
-1.7936 2.6414 6.3483
1.7936 -2.6414 6.3483
1.7936 2.6414 -6.3483
In Pb Br
2 1 1
direct
0.2253 0.2253 0.0000
0.7747 0.7747 0.0000
0.0000 0.5000 0.5000
0.5000 0.0000 0.5000
```

Output
M_tot = 0.00 μB/f.u.
ΔE_f (raw) = -0.163 eV per atom
Calculated total energy = -2.88 eV per atom
ΔE to the lowest computed polymorph = 23 kJ/mol of formula units

Entry 7:
## Tb2Er5Sc5 (PBE)

Data for a geometry-optimized Tb2Er5Sc5 structure.

```
Tb2Er5Sc5
1.0
7.2376 -2.4115 0.0000
7.2376 2.4115 0.0000
-4.8232 0.0000 9.6602
Tb Er Sc
2 5 5
direct
0.0833 0.0833 0.2459
0.9167 0.9167 0.7541
0.3350 0.3350 0.5005
0.4122 0.4122 0.2478
0.5000 0.5000 0.0000
0.5878 0.5878 0.7522
0.6650 0.6650 0.4995
0.0000 0.0000 0.5000
0.1708 0.1708 0.0011
0.2493 0.2493 0.7533
0.7507 0.7507 0.2467
0.8292 0.8292 0.9989
```

Output
M_tot = 0.00 μB/f.u.
Calculated total energy = -5.26 eV per atom
ΔH_f (0 K) = 0.60 eV per formula unit
ΔE to the lowest computed polymorph = 0 kJ/mol of formula units

Entry 8:
## K3NpMn2Se6 (PBE)

Data for a geometry-optimized K3NpMn2Se6 structure.

```
K3NpMn2Se6
1.0
3.4969 -6.0299 0.0000
3.4969 6.0299 0.0000
-2.3352 0.0000 7.6226
K Np Mn Se
3 1 2 6
direct
0.0000 0.0000 0.0000
0.3354 0.6646 0.0000
0.6646 0.3354 0.0000
0.5000 0.5000 0.5000
0.1673 0.8327 0.5000
0.8327 0.1673 0.5000
0.0913 0.4366 0.3067
0.2182 0.2182 0.6912
0.4366 0.0913 0.3067
0.5634 0.9087 0.6933
0.7818 0.7818 0.3088
0.9087 0.5634 0.6933
```

Output
M_tot = 12.00 μB/f.u.
ΔE_f (raw) = -0.932 eV per atom
Calculated total energy = -5.56 eV per atom

Entry 9:
## La2TbCdTe5 (PBE)

Data for a geometry-optimized La2TbCdTe5 structure.

```
La2TbCdTe5
1.0
2.2164 -9.6631 0.0000
2.2164 9.6631 0.0000
0.0000 0.0000 13.5601
La Tb Cd Te
4 2 2 10
direct
0.1164 0.8836 0.5000
0.1308 0.8692 0.1247
0.8692 0.1308 0.6247
0.8836 0.1164 0.0000
0.2002 0.7998 0.8276
0.7998 0.2002 0.3276
0.4411 0.5589 0.2715
0.5589 0.4411 0.7715
0.0461 0.9539 0.8936
0.2877 0.7123 0.4861
0.3076 0.6924 0.1628
0.3593 0.6407 0.8169
0.4967 0.5033 0.5886
0.5033 0.4967 0.0886
0.6407 0.3593 0.3169
0.6924 0.3076 0.6628
0.7123 0.2877 0.9861
0.9539 0.0461 0.3936
```

Output
M_tot = 0.00 μB/f.u.
ΔE_f (raw) = -1.259 eV per atom
Calculated total energy = -4.72 eV per atom